Entry 1:
Material: SmHoMoN3
Method: DFT, PBE
State: optimized geometry

Output
Formation energy (no corrections)   -7.41 eV/f.u.
SG   P2_1/m, No. 11

Cell and atoms, written as POSCAR:
```
SmHoMoN3
1.0
3.3311 0.0000 0.0000
0.0000 5.8069 0.2306
0.0000 -2.2634 8.1698
N Mo Sm Ho
6 2 2 2
direct
0.2500 0.9529 0.8243
0.7500 0.0471 0.1757
0.2500 0.7488 0.4865
0.7500 0.2512 0.5135
0.7500 0.5695 0.1754
0.2500 0.4305 0.8246
0.7500 0.8913 0.3803
0.2500 0.1087 0.6197
0.7500 0.6397 0.6887
0.2500 0.3603 0.3113
0.7500 0.2330 0.9466
0.2500 0.7670 0.0534
```

***

Entry 2:
Material: SiIrIN2
Method: DFT, PBE
State: optimized geometry

Output
Formation energy (no corrections)   5.74 eV/f.u.
Offset from the most stable computed form   0.0000 eV/atom
SG   P4/mmm, No. 123

Cell and atoms, written as POSCAR:
```
SiIrIN2
1.0
-3.4494 -0.4919 -0.7302
0.6821 -3.3599 -0.9588
-1.3498 -2.5919 8.1225
N Si I Ir
2 1 1 1
direct
0.5000 0.0000 0.0000
0.0000 0.5000 0.0000
0.0000 0.0000 0.0000
0.0000 0.0000 0.5000
0.5000 0.5000 0.5000
```

***

Entry 3:
Material: LiTc2Ru
Method: DFT, PBE
State: optimized geometry

Output
E_form   1.4 eV/f.u.
Offset from the most stable computed form   0.1822 eV/atom
SG   Fm-3m, No. 225

Cell and atoms, written as POSCAR:
```
LiTc2Ru
1.0
0.0000 3.0160 3.0160
3.0160 0.0000 3.0160
3.0160 3.0160 0.0000
Tc Li Ru
2 1 1
direct
0.2500 0.2500 0.2500
0.7500 0.7500 0.7500
0.0000 0.0000 0.0000
0.5000 0.5000 0.5000
```

***

Number 1: magnetic moment 0.000 μB/atom. Number 2: magnetic moment 0.000 μB/atom. Number 3: magnetic moment 0.000 μB/atom.